(1)
# MnBe3Ga | Alexandria | PBE | relaxed
# - Polymorph energy (0 for the lowest one): 302 meV/atom
# - Formation energy: 1.27 eV/atom
data_MnBe3Ga
_chemical_formula_sum 'Mn1 Be3 Ga1'
_space_group_name_H-M_alt 'P m -3 m'
_space_group_IT_number 221
_space_group_name_Hall '-P 4 2 3'
_cell_length_a 4.045
_cell_length_b 4.045
_cell_length_c 4.045
_cell_angle_alpha 90.00
_cell_angle_beta 90.00
_cell_angle_gamma 90.00
loop_
_atom_site_label
_atom_site_type_symbol
_atom_site_fract_x
_atom_site_fract_y
_atom_site_fract_z
Mn1 Mn 0.000 0.000 0.000
Be1 Be 0.000 0.500 0.500
Ga1 Ga 0.500 0.500 0.500

(2)
# TbBC | Alexandria | PBE | relaxed
# - Polymorph energy (0 for the lowest one): 33 meV/atom
# - Formation energy: -0.40 eV/atom
data_TbBC
_chemical_formula_sum 'Tb4 B4 C4'
_space_group_name_H-M_alt 'P n m a'
_space_group_IT_number 62
_cell_length_a 7.082
_cell_length_b 3.437
_cell_length_c 6.437
_cell_angle_alpha 90.00
_cell_angle_beta 90.00
_cell_angle_gamma 90.00
loop_
_space_group_symop_operation_xyz
'x,y,z'
'-x,-y,-z'
'-x+1/2,-y,z+1/2'
'x+1/2,y,-z+1/2'
'x+1/2,-y+1/2,-z+1/2'
'-x+1/2,y+1/2,z+1/2'
'-x,y+1/2,-z'
'x,-y+1/2,z'
loop_
_atom_site_label
_atom_site_type_symbol
_atom_site_fract_x
_atom_site_fract_y
_atom_site_fract_z
Tb1 Tb 0.171 0.250 0.156
B1 B 0.024 0.250 0.573
C1 C 0.087 0.250 0.792

(3)
# SrC4 | Alexandria | PBE | relaxed
# - Polymorph energy (0 for the lowest one): 0 meV/atom
# - Formation energy: 1.49 eV/atom
data_SrC4
_chemical_formula_sum 'Sr2 C8'
_space_group_name_H-M_alt 'I 4/m m m'
_space_group_IT_number 139
_space_group_name_Hall '-I 4 2'
_cell_length_a 3.277
_cell_length_b 3.277
_cell_length_c 9.126
_cell_angle_alpha 90.00
_cell_angle_beta 90.00
_cell_angle_gamma 90.00
loop_
_atom_site_label
_atom_site_type_symbol
_atom_site_fract_x
_atom_site_fract_y
_atom_site_fract_z
Sr1 Sr 0.000 0.000 0.000
C1 C 0.000 0.000 0.302
C2 C 0.000 0.500 0.250

(4)
# Li3BPt | Alexandria | PBE | relaxed
# - Polymorph energy (0 for the lowest one): 0 meV/atom
# - Formation energy: 0.51 eV/atom
data_Li3BPt
_chemical_formula_sum 'Li3 B1 Pt1'
_space_group_name_H-M_alt 'P m -3 m'
_space_group_IT_number 221
_space_group_name_Hall '-P 4 2 3'
_cell_length_a 4.054
_cell_length_b 4.054
_cell_length_c 4.054
_cell_angle_alpha 90.00
_cell_angle_beta 90.00
_cell_angle_gamma 90.00
loop_
_atom_site_label
_atom_site_type_symbol
_atom_site_fract_x
_atom_site_fract_y
_atom_site_fract_z
Li1 Li 0.000 0.000 0.500
B1 B 0.000 0.000 0.000
Pt1 Pt 0.500 0.500 0.500

(5)
# Ce2Pm3PrN6 | Alexandria | PBE | relaxed
# - Formation energy from raw total energies: -1.46 eV/atom
data_Ce2Pm3PrN6
_chemical_formula_sum 'Ce4 Pm6 Pr2 N12'
_space_group_name_H-M_alt 'C 1 2/m 1'
_space_group_IT_number 12
_cell_length_a 6.249
_cell_length_b 10.824
_cell_length_c 6.241
_cell_angle_alpha 90.00
_cell_angle_beta 109.52
_cell_angle_gamma 90.00
loop_
_space_group_symop_operation_xyz
'x,y,z'
'-x,-y,-z'
'-x,y,-z'
'x,-y,z'
'x+1/2,y+1/2,z'
'-x+1/2,-y+1/2,-z'
'-x+1/2,y+1/2,-z'
'x+1/2,-y+1/2,z'
loop_
_atom_site_label
_atom_site_type_symbol
_atom_site_fract_x
_atom_site_fract_y
_atom_site_fract_z
Ce1 Ce 0.000 0.167 0.000
Pm1 Pm 0.000 0.000 0.500
Pm2 Pm 0.000 0.333 0.500
Pr1 Pr 0.000 0.500 0.000
N1 N 0.235 0.000 0.242
N2 N 0.246 0.173 0.757

(6)
# Mg2Hg4Se | Alexandria | PBE | relaxed
# - Formation energy from raw total energies: 0.14 eV/atom
data_Mg2Hg4Se
_chemical_formula_sum 'Mg4 Hg8 Se2'
_space_group_name_H-M_alt 'I 4/m m m'
_space_group_IT_number 139
_space_group_name_Hall '-I 4 2'
_cell_length_a 5.642
_cell_length_b 5.642
_cell_length_c 14.045
_cell_angle_alpha 90.00
_cell_angle_beta 90.00
_cell_angle_gamma 90.00
loop_
_atom_site_label
_atom_site_type_symbol
_atom_site_fract_x
_atom_site_fract_y
_atom_site_fract_z
Mg1 Mg 0.000 0.000 0.104
Hg1 Hg 0.000 0.000 0.298
Hg2 Hg 0.000 0.500 0.000
Se1 Se 0.000 0.000 0.500

(7)
# La3TeOsBr | Alexandria | PBE | relaxed
# - Formation energy from raw total energies: -1.07 eV/atom
data_La3TeOsBr
_chemical_formula_sum 'La6 Te2 Os2 Br2'
_space_group_name_H-M_alt 'P 1 21/m 1'
_space_group_IT_number 11
_cell_length_a 8.206
_cell_length_b 4.361
_cell_length_c 10.935
_cell_angle_alpha 90.00
_cell_angle_beta 92.98
_cell_angle_gamma 90.00
loop_
_space_group_symop_operation_xyz
'x,y,z'
'-x,-y,-z'
'-x,y+1/2,-z'
'x,-y+1/2,z'
loop_
_atom_site_label
_atom_site_type_symbol
_atom_site_fract_x
_atom_site_fract_y
_atom_site_fract_z
La1 La 0.054 0.250 0.208
La2 La 0.210 0.750 0.506
La3 La 0.357 0.250 0.801
Te1 Te 0.424 0.250 0.331
Os1 Os 0.085 0.250 0.665
Br1 Br 0.245 0.750 0.998

(8)
# YScHgGe2 | Alexandria | PBE | relaxed
# - Formation energy: 0.62 eV/atom
data_YScHgGe2
_chemical_formula_sum 'Y1 Sc1 Hg1 Ge2'
_space_group_name_H-M_alt 'P 4/m m m'
_space_group_IT_number 123
_space_group_name_Hall '-P 4 2'
_cell_length_a 5.158
_cell_length_b 5.158
_cell_length_c 5.572
_cell_angle_alpha 90.00
_cell_angle_beta 90.00
_cell_angle_gamma 90.00
loop_
_atom_site_label
_atom_site_type_symbol
_atom_site_fract_x
_atom_site_fract_y
_atom_site_fract_z
Y1 Y 0.000 0.000 0.000
Sc1 Sc 0.500 0.500 0.000
Hg1 Hg 0.000 0.000 0.500
Ge1 Ge 0.000 0.500 0.500

(9)
# Ca3LaPt4 | Alexandria | PBE | relaxed
# - Formation energy: -0.97 eV/atom
data_Ca3LaPt4
_chemical_formula_sum 'Ca3 La1 Pt4'
_space_group_name_H-M_alt 'P 4/m m m'
_space_group_IT_number 123
_space_group_name_Hall '-P 4 2'
_cell_length_a 4.993
_cell_length_b 4.993
_cell_length_c 7.111
_cell_angle_alpha 90.00
_cell_angle_beta 90.00
_cell_angle_gamma 90.00
loop_
_atom_site_label
_atom_site_type_symbol
_atom_site_fract_x
_atom_site_fract_y
_atom_site_fract_z
Ca1 Ca 0.000 0.000 0.000
Ca2 Ca 0.000 0.000 0.500
Ca3 Ca 0.500 0.500 0.000
La1 La 0.500 0.500 0.500
Pt1 Pt 0.000 0.500 0.251

(10)
# CdHgTe | Alexandria | PBE | relaxed
# - Polymorph energy (0 for the lowest one): 221 meV/atom
# - Formation energy from raw total energies: 0.09 eV/atom
data_CdHgTe
_chemical_formula_sum 'Cd2 Hg2 Te2'
_space_group_name_H-M_alt 'I 4 m m'
_space_group_IT_number 107
_space_group_name_Hall 'I 4 -2'
_cell_length_a 3.462
_cell_length_b 3.462
_cell_length_c 13.519
_cell_angle_alpha 90.00
_cell_angle_beta 90.00
_cell_angle_gamma 90.00
loop_
_atom_site_label
_atom_site_type_symbol
_atom_site_fract_x
_atom_site_fract_y
_atom_site_fract_z
Cd1 Cd 0.000 0.000 0.000
Hg1 Hg 0.000 0.000 0.644
Te1 Te 0.000 0.000 0.339

(11)
# Hf2HgPb2 | Alexandria | PBE | relaxed
# - Polymorph energy (0 for the lowest one): 0 meV/atom
# - Formation energy: 0.10 eV/atom
data_Hf2HgPb2
_chemical_formula_sum 'Hf4 Hg2 Pb4'
_space_group_name_H-M_alt 'P 4/m b m'
_space_group_IT_number 127
_space_group_name_Hall '-P 4 2ab'
_cell_length_a 7.710
_cell_length_b 7.710
_cell_length_c 4.175
_cell_angle_alpha 90.00
_cell_angle_beta 90.00
_cell_angle_gamma 90.00
loop_
_atom_site_label
_atom_site_type_symbol
_atom_site_fract_x
_atom_site_fract_y
_atom_site_fract_z
Hf1 Hf 0.138 0.362 0.000
Hg1 Hg 0.000 0.000 0.000
Pb1 Pb 0.167 0.667 0.500

(12)
# PuU2P3 | Alexandria | PBE | relaxed
# - Polymorph energy (0 for the lowest one): 0 meV/atom
# - Formation energy: -1.02 eV/atom
data_PuU2P3
_chemical_formula_sum 'Pu4 U8 P12'
_space_group_name_H-M_alt 'P n m a'
_space_group_IT_number 62
_cell_length_a 7.875
_cell_length_b 5.573
_cell_length_c 11.873
_cell_angle_alpha 90.00
_cell_angle_beta 90.00
_cell_angle_gamma 90.00
loop_
_space_group_symop_operation_xyz
'x,y,z'
'-x,-y,-z'
'-x+1/2,-y,z+1/2'
'x+1/2,y,-z+1/2'
'x+1/2,-y+1/2,-z+1/2'
'-x+1/2,y+1/2,z+1/2'
'-x,y+1/2,-z'
'x,-y+1/2,z'
loop_
_atom_site_label
_atom_site_type_symbol
_atom_site_fract_x
_atom_site_fract_y
_atom_site_fract_z
Pu1 Pu 0.125 0.250 0.083
U1 U 0.123 0.250 0.416
U2 U 0.126 0.250 0.751
P1 P 0.122 0.750 0.415
P2 P 0.126 0.750 0.751
P3 P 0.127 0.750 0.084

(13)
# MgTlAs3 | Alexandria | PBE | relaxed
# - Polymorph energy (0 for the lowest one): 0 meV/atom
# - Formation energy: 0.49 eV/atom
data_MgTlAs3
_chemical_formula_sum 'Mg1 Tl1 As3'
_space_group_name_H-M_alt 'P m -3 m'
_space_group_IT_number 221
_space_group_name_Hall '-P 4 2 3'
_cell_length_a 5.097
_cell_length_b 5.097
_cell_length_c 5.097
_cell_angle_alpha 90.00
_cell_angle_beta 90.00
_cell_angle_gamma 90.00
loop_
_atom_site_label
_atom_site_type_symbol
_atom_site_fract_x
_atom_site_fract_y
_atom_site_fract_z
Mg1 Mg 0.000 0.000 0.000
Tl1 Tl 0.500 0.500 0.500
As1 As 0.000 0.000 0.500

(14)
# MgCdInBi | Alexandria | PBE | relaxed
# - Formation energy: 0.01 eV/atom
data_MgCdInBi
_chemical_formula_sum 'Mg4 Cd4 In4 Bi4'
_space_group_name_H-M_alt 'F -4 3 m'
_space_group_IT_number 216
_space_group_name_Hall 'F -4 2 3'
_cell_length_a 7.550
_cell_length_b 7.550
_cell_length_c 7.550
_cell_angle_alpha 90.00
_cell_angle_beta 90.00
_cell_angle_gamma 90.00
loop_
_atom_site_label
_atom_site_type_symbol
_atom_site_fract_x
_atom_site_fract_y
_atom_site_fract_z
Mg1 Mg 0.000 0.000 0.000
Cd1 Cd 0.000 0.000 0.500
In1 In 0.250 0.250 0.750
Bi1 Bi 0.250 0.250 0.250

(15)
# ThSiRu2 | Alexandria | PBE | relaxed
# - Formation energy from raw total energies: -0.21 eV/atom
data_ThSiRu2
_chemical_formula_sum 'Th2 Si2 Ru4'
_space_group_name_H-M_alt 'C m m m'
_space_group_IT_number 65
_space_group_name_Hall '-C 2 2'
_cell_length_a 5.778
_cell_length_b 6.834
_cell_length_c 3.861
_cell_angle_alpha 90.00
_cell_angle_beta 90.00
_cell_angle_gamma 90.00
loop_
_atom_site_label
_atom_site_type_symbol
_atom_site_fract_x
_atom_site_fract_y
_atom_site_fract_z
Th1 Th 0.000 0.000 0.000
Si1 Si 0.000 0.500 0.000
Ru1 Ru 0.000 0.301 0.500

(16)
# Mn3HOs | Alexandria | PBE | relaxed
# - Polymorph energy (0 for the lowest one): 27 meV/atom
data_Mn3HOs
_chemical_formula_sum 'Mn12 H4 Os4'
_space_group_name_H-M_alt 'P 1 21/c 1'
_space_group_IT_number 14
_cell_length_a 6.708
_cell_length_b 4.511
_cell_length_c 6.612
_cell_angle_alpha 90.00
_cell_angle_beta 103.11
_cell_angle_gamma 90.00
loop_
_space_group_symop_operation_xyz
'x,y,z'
'-x,-y,-z'
'-x,y+1/2,-z+1/2'
'x,-y+1/2,z+1/2'
loop_
_atom_site_label
_atom_site_type_symbol
_atom_site_fract_x
_atom_site_fract_y
_atom_site_fract_z
Mn1 Mn 0.064 0.079 0.189
Mn2 Mn 0.195 0.586 0.063
Mn3 Mn 0.436 0.583 0.814
H1 H 0.047 0.236 0.438
Os1 Os 0.314 0.083 0.935

(17)
# Dy2HfTh | Alexandria | PBE | relaxed
# - Polymorph energy (0 for the lowest one): 0 meV/atom
# - Formation energy: 0.12 eV/atom
data_Dy2HfTh
_chemical_formula_sum 'Dy2 Hf1 Th1'
_space_group_name_H-M_alt 'P 4/m m m'
_space_group_IT_number 123
_space_group_name_Hall '-P 4 2'
_cell_length_a 4.802
_cell_length_b 4.802
_cell_length_c 4.990
_cell_angle_alpha 90.00
_cell_angle_beta 90.00
_cell_angle_gamma 90.00
loop_
_atom_site_label
_atom_site_type_symbol
_atom_site_fract_x
_atom_site_fract_y
_atom_site_fract_z
Dy1 Dy 0.000 0.500 0.000
Hf1 Hf 0.000 0.000 0.500
Th1 Th 0.500 0.500 0.500

(18)
# MgPdRh3 | Alexandria | PBE | relaxed
# - Polymorph energy (0 for the lowest one): 0 meV/atom
# - Formation energy: 1.17 eV/atom
data_MgPdRh3
_chemical_formula_sum 'Mg1 Pd1 Rh3'
_space_group_name_H-M_alt 'P m -3 m'
_space_group_IT_number 221
_space_group_name_Hall '-P 4 2 3'
_cell_length_a 4.472
_cell_length_b 4.472
_cell_length_c 4.472
_cell_angle_alpha 90.00
_cell_angle_beta 90.00
_cell_angle_gamma 90.00
loop_
_atom_site_label
_atom_site_type_symbol
_atom_site_fract_x
_atom_site_fract_y
_atom_site_fract_z
Mg1 Mg 0.000 0.000 0.000
Pd1 Pd 0.500 0.500 0.500
Rh1 Rh 0.000 0.000 0.500

(19)
# Cr3HgB | Alexandria | PBE | relaxed
# - Polymorph energy (0 for the lowest one): 1944 meV/atom
# - Formation energy: 2.36 eV/atom
data_Cr3HgB
_chemical_formula_sum 'Cr3 Hg1 B1'
_space_group_name_H-M_alt 'P m -3 m'
_space_group_IT_number 221
_space_group_name_Hall '-P 4 2 3'
_cell_length_a 5.130
_cell_length_b 5.130
_cell_length_c 5.130
_cell_angle_alpha 90.00
_cell_angle_beta 90.00
_cell_angle_gamma 90.00
loop_
_atom_site_label
_atom_site_type_symbol
_atom_site_fract_x
_atom_site_fract_y
_atom_site_fract_z
Cr1 Cr 0.000 0.000 0.500
Hg1 Hg 0.000 0.000 0.000
B1 B 0.500 0.500 0.500

(20)
# Na2DySi3Au12 | Alexandria | PBE | relaxed
# - Formation energy from raw total energies: -0.08 eV/atom
data_Na2DySi3Au12
_chemical_formula_sum 'Na6 Dy3 Si9 Au36'
_space_group_name_H-M_alt 'R -3 m'
_space_group_IT_number 166
_space_group_name_Hall '-R 3 2"'
_cell_length_a 9.0435
_cell_length_b 9.0435
_cell_length_c 16.4589
_cell_angle_alpha 90.00
_cell_angle_beta 90.00
_cell_angle_gamma 120.00
loop_
_atom_site_label
_atom_site_type_symbol
_atom_site_fract_x
_atom_site_fract_y
_atom_site_fract_z
Na1 Na 0.0000 0.0000 0.0841
Dy1 Dy 0.0000 0.0000 0.5000
Si1 Si 0.0000 0.5000 0.0000
Au1 Au 0.0359 0.5180 0.3206
Au2 Au 0.0392 0.5196 0.8530